1.
A geometry-optimized CrHPt3 structure. Source: Alexandria, functional GGA-PBE.

a = 4.0001 Å, b = 4.0001 Å, c = 4.0001 Å
α = 90.00°, β = 90.00°, γ = 90.00°
Last column: magnetic moment on the atom in μB.
Positions (direct):
H: 0.0000 0.0000 0.0000  0.00
Pt: 0.5000 0.0000 0.0000  0.00
Pt: 0.0000 0.0000 0.5000  -0.06
Pt: 0.0000 0.5000 0.0000  -0.02
Cr: 0.5000 0.5000 0.5000  3.08

Summary:
Offset from the most stable computed form in meV per atom: 0
Total moment in μB/atom: 0.64

---

2.
A geometry-optimized K4Ac3InTe8 structure. Source: Alexandria, functional GGA-PBE.

a = 9.4981 Å, b = 9.9674 Å, c = 9.5018 Å
α = 118.50°, β = 119.99°, γ = 90.00°
Positions (direct):
Ac: 0.0000 0.5000 0.5000
Ac: 0.5000 0.5000 0.0000
Ac: 0.5000 0.5000 0.5000
K: 0.5000 0.0000 0.5000
K: 0.5000 0.0000 0.0000
K: 0.0000 0.0000 0.5000
K: 0.0000 0.0000 0.0000
In: 0.0000 0.5000 0.0000
Te: 0.7587 0.7152 0.9870
Te: 0.7717 0.2848 0.0130
Te: 0.2293 0.7160 0.4586
Te: 0.2581 0.2743 0.5161
Te: 0.7419 0.7257 0.4839
Te: 0.7707 0.2840 0.5414
Te: 0.2413 0.2848 0.0130
Te: 0.2283 0.7152 0.9870

Summary:
Total moment in μB/atom: 0.00
Formation energy (no corrections) in meV per atom: -1236